This record from the Alexandria database describes an optimized crystal structure of MnSi2PbS6. The functional is PBE-GGA.

POSCAR file:
```
MnSi2PbS6
1.0
6.217 -5.549 0.000
6.217 5.549 0.000
-2.016 0.000 6.317
Mn Si Pb S
2 4 2 12
direct
0.110 0.890 0.750
0.890 0.110 0.250
0.194 0.377 0.737
0.377 0.194 0.237
0.623 0.806 0.763
0.806 0.623 0.263
0.299 0.701 0.250
0.701 0.299 0.750
0.027 0.187 0.641
0.084 0.613 0.831
0.187 0.027 0.141
0.328 0.401 0.498
0.387 0.916 0.669
0.401 0.328 0.998
0.599 0.672 0.002
0.613 0.084 0.331
0.672 0.599 0.502
0.813 0.973 0.859
0.916 0.387 0.169
0.973 0.813 0.359
```

Results
**Energy relative to the elements, uncorrected**: -5.697 eV/f.u.


This record from the Alexandria database describes an optimized crystal structure of PrNd4Dy3Te8. The functional is PBE-GGA.

POSCAR file:
```
PrNd4Dy3Te8
1.0
4.427 2.556 7.344
-4.427 2.556 7.344
0.000 -5.112 7.344
Pr Nd Dy Te
1 4 3 8
direct
0.000 0.000 0.000
0.000 0.000 0.500
0.000 0.500 0.000
0.500 0.000 0.000
0.500 0.500 0.500
0.000 0.500 0.500
0.500 0.000 0.500
0.500 0.500 0.000
0.251 0.251 0.741
0.251 0.741 0.251
0.254 0.254 0.254
0.259 0.749 0.749
0.741 0.251 0.251
0.746 0.746 0.746
0.749 0.259 0.749
0.749 0.749 0.259
```

Results
**Energy relative to the elements, uncorrected**: -21.862 eV/f.u.


This record from the Alexandria database describes an optimized crystal structure of Sm2Dy2S7. The functional is PBE-GGA.

POSCAR file:
```
Sm2Dy2S7
1.0
4.851 -4.977 0.000
4.851 4.977 0.000
0.000 0.000 6.057
Sm Dy S
2 2 7
direct
0.236 0.764 0.000
0.764 0.236 0.000
0.220 0.220 0.500
0.780 0.780 0.500
0.000 0.000 0.248
0.000 0.000 0.752
0.000 0.500 0.268
0.000 0.500 0.732
0.500 0.000 0.268
0.500 0.000 0.732
0.500 0.500 0.000
```

Results
**Energy relative to the elements, uncorrected**: -17.283 eV/f.u.


This record from the Alexandria database describes an optimized crystal structure of Sc6AlCd. The functional is PBE-GGA.

POSCAR file:
```
Sc6AlCd
1.0
4.467 0.000 0.000
0.000 4.467 0.000
0.000 0.000 8.946
Sc Al Cd
6 1 1
direct
0.000 0.000 0.000
0.000 0.000 0.500
0.000 0.500 0.243
0.000 0.500 0.757
0.500 0.000 0.243
0.500 0.000 0.757
0.500 0.500 0.000
0.500 0.500 0.500
```

Results
**Calculated total energy**: -5.5178 eV per atom


This record from the Alexandria database describes an optimized crystal structure of UZnSi2. The functional is PBE-GGA.

POSCAR file:
```
UZnSi2
1.0
2.213 1.278 6.801
-2.213 1.278 6.801
0.000 -2.555 6.801
U Zn Si
1 1 2
direct
0.000 0.000 0.000
0.500 0.500 0.500
0.385 0.385 0.385
0.615 0.615 0.615
```

Results
**Energy relative to the elements, uncorrected**: 2.769 eV/f.u.


This record from the Alexandria database describes an optimized crystal structure of Mg2CdGeIr. The functional is PBE-GGA.

POSCAR file:
```
Mg2CdGeIr
1.0
5.083 0.000 0.000
0.000 5.083 0.000
0.000 0.000 4.674
Mg Cd Ge Ir
2 1 1 1
direct
0.000 0.500 0.000
0.500 0.000 0.000
0.000 0.000 0.500
0.500 0.500 0.500
0.500 0.500 0.000
```

Results
**Calculated total energy**: -3.6351 eV per atom


This record from the Alexandria database describes an optimized crystal structure of Pm2AlTe. The functional is PBE-GGA.

POSCAR file:
```
Pm2AlTe
1.0
0.000 3.823 3.823
3.823 0.000 3.823
3.823 3.823 0.000
Pm Al Te
2 1 1
direct
0.250 0.250 0.250
0.750 0.750 0.750
0.000 0.000 0.000
0.500 0.500 0.500
```

Results
**Energy relative to the elements, uncorrected**: -2.250 eV/f.u.


This record from the Alexandria database describes an optimized crystal structure of Tb4HoTh3S8. The functional is PBE-GGA.

POSCAR file:
```
Tb4HoTh3S8
1.0
3.939 2.274 6.567
-3.939 2.274 6.567
0.000 -4.548 6.567
Tb Ho Th S
4 1 3 8
direct
0.000 0.000 0.000
0.000 0.500 0.500
0.500 0.000 0.500
0.500 0.500 0.000
0.500 0.500 0.500
0.000 0.000 0.500
0.000 0.500 0.000
0.500 0.000 0.000
0.251 0.251 0.741
0.251 0.741 0.251
0.254 0.254 0.254
0.259 0.749 0.749
0.741 0.251 0.251
0.746 0.746 0.746
0.749 0.259 0.749
0.749 0.749 0.259
```

Results
**Energy relative to the elements, uncorrected**: -30.886 eV/f.u.


This record from the Alexandria database describes an optimized crystal structure of CrIn2MoPb. The functional is PBE-GGA.

POSCAR file:
```
CrIn2MoPb
1.0
5.102 0.000 0.000
0.000 5.102 0.000
0.000 0.000 5.115
Cr In Mo Pb
1 2 1 1
direct
0.000 0.000 0.000
0.000 0.500 0.000
0.500 0.000 0.000
0.500 0.500 0.500
0.000 0.000 0.500
```

Results
**Calculated total energy**: -4.7899 eV per atom


This record from the Alexandria database describes an optimized crystal structure of LiHoErPb. The functional is PBE-GGA.

POSCAR file:
```
LiHoErPb
1.0
0.000 3.715 3.715
3.715 0.000 3.715
3.715 3.715 0.000
Li Ho Er Pb
1 1 1 1
direct
0.000 0.000 0.000
0.250 0.250 0.250
0.750 0.750 0.750
0.500 0.500 0.500
```

Results
**Calculated total energy**: -3.9306 eV per atom


This record from the Alexandria database describes an optimized crystal structure of NdMnCoSi2. The functional is PBE-GGA.

POSCAR file:
```
NdMnCoSi2
1.0
-2.000 2.000 5.021
2.000 -2.000 5.021
2.000 2.000 -5.021
Nd Mn Co Si
1 1 1 2
direct
0.000 0.000 0.000
0.250 0.750 0.500
0.750 0.250 0.500
0.370 0.370 0.000
0.630 0.630 0.000
```

Results
**Energy relative to the elements, uncorrected**: -3.173 eV/f.u.


This record from the Alexandria database describes an optimized crystal structure of AcPm8Si4. The functional is PBE-GGA.

POSCAR file:
```
AcPm8Si4
1.0
-5.343 5.343 3.164
5.343 -5.343 3.164
5.343 5.343 -3.164
Ac Pm Si
1 8 4
direct
0.000 0.000 0.000
0.000 0.332 0.332
0.000 0.668 0.668
0.282 0.500 0.782
0.332 0.000 0.332
0.500 0.282 0.782
0.500 0.718 0.218
0.668 0.000 0.668
0.718 0.500 0.218
0.000 0.000 0.500
0.000 0.500 0.000
0.500 0.000 0.000
0.500 0.500 0.500
```

Results
**Energy relative to the elements, uncorrected**: -3.829 eV/f.u.